Density functional theory data (GGA+U) for crystalline ZrCo3O at its relaxed geometry.

Cell: 3.969 3.969 3.969 Å, 90.00 90.00 90.00°
Fractional positions:
1 Zr 0.000 0.000 0.000
2 Co 0.000 0.500 0.500
3 Co 0.500 0.000 0.500
4 Co 0.500 0.500 0.000
5 O 0.500 0.500 0.500

The calculation puts the volume at 12.5 A^3/atom. The calculation puts the size of the total moment at 4.125 μB/cell. As for the symmetry: Pm-3m. The total DFT energy (no corrections) comes out at -27.73 eV per cell.